Cs4Cu2AsP (PBE, relaxed); SG = No. 38; total DFT energy (no corrections) = -0.107 Ha/atom
1.0
6.5021 0.0000 0.0000
0.0000 5.6082 3.8110
0.0000 -5.6082 3.8110
Cs Cu P As
4 2 1 1
Direct
0.0000 0.6739 0.0055 Cs
0.0000 0.0055 0.6739 Cs
0.5000 0.9853 0.3219 Cs
0.5000 0.3219 0.9853 Cs
0.7370 0.5041 0.5041 Cu
0.2630 0.5041 0.5041 Cu
0.5000 0.7161 0.7161 P
0.0000 0.2890 0.2890 As